Density functional theory data (GGA+U) for crystalline Li4V3Ni2Sb3O16 at its relaxed geometry.

Total moment, Bohr magnetons per cell: 9.95
Total DFT energy (no corrections), Ry per atom: -0.4583
Space group: Cm, No. 8

```
Li4V3Ni2Sb3O16
1.0
5.327 -3.053 0.000
5.327 3.053 0.000
-0.185 0.000 9.811
Li V Ni Sb O
4 3 2 3 16
Direct
0.000 0.000 0.000
0.010 0.010 0.516
0.329 0.329 0.632
0.667 0.667 0.104
0.165 0.165 0.289
0.330 0.821 0.792
0.821 0.330 0.792
0.321 0.321 0.994
0.650 0.650 0.532
0.164 0.659 0.290
0.659 0.164 0.290
0.822 0.822 0.790
0.028 0.482 0.178
0.147 0.674 0.904
0.151 0.151 0.900
0.309 0.837 0.398
0.335 0.335 0.404
0.480 0.480 0.172
0.482 0.028 0.178
0.509 0.509 0.673
0.511 0.956 0.669
0.665 0.665 0.904
0.674 0.147 0.904
0.837 0.309 0.398
0.844 0.844 0.403
0.956 0.511 0.669
0.985 0.985 0.692
0.991 0.991 0.185
```

---

Density functional theory data (GGA+U) for crystalline Li4V2Ni3Sb3O16 at its relaxed geometry.

Total moment, Bohr magnetons per cell: 9.00
Total DFT energy (no corrections), Ry per atom: -0.4402
Space group: Cm, No. 8

```
Li4V2Ni3Sb3O16
1.0
5.281 -3.046 0.000
5.281 3.046 0.000
-0.329 0.000 9.750
Li V Ni Sb O
4 2 3 3 16
Direct
0.000 0.000 0.000
0.015 0.015 0.520
0.311 0.311 0.614
0.668 0.668 0.098
0.316 0.316 0.005
0.627 0.627 0.541
0.166 0.166 0.289
0.318 0.825 0.798
0.825 0.318 0.798
0.163 0.659 0.290
0.659 0.163 0.290
0.817 0.817 0.790
0.031 0.487 0.167
0.142 0.659 0.905
0.156 0.156 0.911
0.322 0.820 0.407
0.334 0.334 0.402
0.479 0.479 0.169
0.487 0.031 0.167
0.500 0.500 0.646
0.513 0.940 0.652
0.659 0.142 0.905
0.659 0.659 0.895
0.820 0.322 0.407
0.843 0.843 0.402
0.940 0.513 0.652
0.981 0.981 0.697
0.993 0.993 0.188
```

---

Density functional theory data (GGA+U) for crystalline Li4V3Ni3Sb2O16 at its relaxed geometry.

Total moment, Bohr magnetons per cell: 9.00
Total DFT energy (no corrections), Ry per atom: -0.4556
Space group: Cm, No. 8

```
Li4V3Ni3Sb2O16
1.0
5.164 -2.967 0.000
5.164 2.967 0.000
-0.098 0.000 9.708
Li V Ni Sb O
4 3 3 2 16
Direct
0.000 0.000 0.000
0.003 0.003 0.512
0.338 0.338 0.601
0.668 0.668 0.089
0.165 0.657 0.281
0.657 0.165 0.281
0.826 0.826 0.775
0.170 0.170 0.285
0.342 0.830 0.785
0.830 0.342 0.785
0.331 0.331 0.002
0.658 0.658 0.512
0.040 0.494 0.155
0.163 0.163 0.909
0.165 0.666 0.904
0.326 0.828 0.399
0.351 0.351 0.389
0.482 0.482 0.157
0.494 0.040 0.155
0.517 0.517 0.648
0.526 0.968 0.643
0.666 0.165 0.904
0.686 0.686 0.889
0.828 0.326 0.399
0.831 0.831 0.393
0.968 0.526 0.643
0.988 0.988 0.698
0.991 0.991 0.192
```

---

Density functional theory data (GGA+U) for crystalline LiScNi2O4 at its relaxed geometry.

Total moment, Bohr magnetons per cell: 4.00
Total DFT energy (no corrections), Ry per atom: -0.4529
Space group: P2/m, No. 10

```
LiScNi2O4
1.0
5.130 0.000 0.000
0.000 3.073 0.000
-1.634 0.000 4.903
Li Sc Ni O
1 1 2 4
Direct
0.000 0.000 0.000
0.000 0.500 0.500
0.500 0.000 0.500
0.500 0.500 0.000
0.246 0.000 0.749
0.261 0.500 0.259
0.739 0.500 0.741
0.754 0.000 0.251
```

---

Density functional theory data (GGA+U) for crystalline LiNiSeO4 at its relaxed geometry.

Total moment, Bohr magnetons per cell: 2.71
Total DFT energy (no corrections), Ry per atom: -0.3672
Space group: Imma, No. 74

```
LiNiSeO4
1.0
-3.018 3.115 3.973
3.018 -3.115 3.973
3.018 3.115 -3.973
Li Ni Se O
2 2 2 8
Direct
0.000 0.000 0.000
0.500 0.000 0.500
0.500 0.000 0.000
0.500 0.500 0.500
0.102 0.352 0.750
0.898 0.648 0.250
0.229 0.248 0.519
0.229 0.710 0.981
0.284 0.250 0.035
0.285 0.750 0.535
0.715 0.250 0.465
0.716 0.750 0.965
0.771 0.290 0.019
0.771 0.752 0.481
```

---

Density functional theory data (GGA+U) for crystalline LiNi2SeO4 at its relaxed geometry.

Total moment, Bohr magnetons per cell: 7.56
Total DFT energy (no corrections), Ry per atom: -0.3493
Space group: C2/c, No. 15

```
LiNi2SeO4
1.0
4.009 -4.178 0.000
4.009 4.178 0.000
-3.463 0.000 4.995
Li Ni Se O
2 4 2 8
Direct
0.000 0.500 0.000
0.500 0.000 0.500
0.000 0.000 0.000
0.000 0.000 0.500
0.000 0.500 0.500
0.500 0.000 0.000
0.500 0.500 0.000
0.500 0.500 0.500
0.202 0.216 0.396
0.216 0.202 0.896
0.240 0.718 0.963
0.282 0.760 0.537
0.718 0.240 0.463
0.760 0.282 0.037
0.784 0.798 0.104
0.798 0.784 0.604
```